This record from the Alexandria database describes crystalline TlNF3 at its relaxed geometry. The functional is PBE.

As for the crystal system: cubic. The calculation puts the distance to the lowest polymorph of the same formula at 261.1 meV per atom. For the uncorrected formation energy, the calculation gives -0.111 eV/atom. As for the raw total energy: -3.37 eV/atom.

The structure belongs to space group Pm-3m (No. 221); the cell edges are 4.0539, 4.0539 and 4.0539 Å and the angles 90.00°, 90.00° and 90.00°. Symmetry generates all atoms from Tl at (0.0000, 0.0000, 0.0000), N at (0.5000, 0.5000, 0.5000) and F at (0.0000, 0.5000, 0.5000).

***

This record from the Alexandria database describes crystalline TlN2F6 at its relaxed geometry. The functional is PBE.

As for the crystal system: monoclinic. For the uncorrected formation energy, the calculation gives -0.543 eV/atom. As for the raw total energy: -3.90 eV/atom.

The structure belongs to space group C2/c (No. 15); the cell edges are 10.7914, 11.5747 and 6.8592 Å and the angles 90.00°, 114.79° and 90.00°. Symmetry generates all atoms from Tl at (0.0000, 0.0506, 0.2500), N at (0.0932, 0.3767, 0.0846), F at (0.1186, 0.0650, 0.6175), F at (0.1388, 0.2786, 0.2126) and F at (0.1455, 0.3632, 0.9351).